DFT (PBE) results for crystalline CrFeGe2 at its relaxed geometry.

```
CrFeGe2
1.0
-2.792 2.792 5.531
2.792 -2.792 5.531
2.792 2.792 -5.531
Cr Fe Ge
2 2 4
Direct
0.000 0.000 0.000 Cr
0.750 0.250 0.500 Cr
0.250 0.750 0.500 Fe
0.500 0.500 0.000 Fe
0.158 0.625 0.033 Ge
0.375 0.408 0.533 Ge
0.592 0.125 0.967 Ge
0.875 0.842 0.467 Ge
```

Its density of states at the Fermi level is 3.89 states/eV/f.u. As for the spin magnetization: 5.2 μB per formula unit. The symmetry is I-42d, No. 122. Its energy relative to the lowest polymorph listed for this composition is 3.30 eV/f.u.

DFT (PBE) results for crystalline CaLa3Tc at its relaxed geometry.

```
CaLa3Tc
1.0
5.585 0.000 0.000
2.789 6.304 0.000
2.786 1.375 10.270
Ca La Tc
2 6 2
Direct
0.000 0.000 0.000 Ca
0.251 0.374 0.121 Ca
0.010 0.492 0.492 La
0.255 0.860 0.627 La
0.493 0.264 0.749 La
0.510 0.738 0.245 La
0.749 0.629 0.874 La
0.754 0.121 0.370 La
0.253 0.617 0.846 Tc
0.542 0.477 0.455 Tc
```

Its density of states at the Fermi level is 0.64 states/eV/f.u. As for the spin magnetization: 0.0 μB per formula unit. The symmetry is P1, No. 1. Its energy relative to the lowest polymorph listed for this composition is 0.12 eV/f.u.

DFT (PBE) results for crystalline YAl2TcH at its relaxed geometry.

```
YAl2TcH
1.0
5.757 0.000 0.000
0.000 5.757 0.000
0.000 0.000 4.982
Y Al Tc H
1 2 1 1
Direct
0.000 0.000 0.000 Y
0.000 0.500 0.000 Al
0.500 0.000 0.000 Al
0.000 0.000 0.500 Tc
0.500 0.500 0.500 H
```

Its density of states at the Fermi level is 4.02 states/eV/f.u. As for the spin magnetization: 2.0 μB per formula unit. The symmetry is P4/mmm, No. 123. The value obtained for the total energy is -3.595 eV/atom.

DFT (PBE) results for crystalline La2AlBr at its relaxed geometry.

```
La2AlBr
1.0
0.000 3.811 3.811
3.811 0.000 3.811
3.811 3.811 0.000
La Al Br
2 1 1
Direct
0.000 0.000 0.000 La
0.250 0.250 0.250 La
0.750 0.750 0.750 Al
0.500 0.500 0.500 Br
```

The formation energy from raw total energies is -2.81 kcal/mol of atoms. Its density of states at the Fermi level is 4.71 states/eV/f.u. As for the spin magnetization: 0.0 μB per formula unit. The symmetry is F-43m, No. 216. Its energy relative to the lowest polymorph listed for this composition is 2.82 eV/f.u.